# 1
# PBE-GGA LiSc2Fe, relaxed
# V = 16.9 Å³/atom
# E_form = 86 meV per atom
# Fermi-level density of states = 5.1 states/eV per cell
# ρ = 3.8 g/cm³
# Size of the total moment = 0.0616 μB/atom
data_LiSc2Fe
_symmetry_space_group_name_H-M 'P 1'
_symmetry_Int_Tables_number 1
_symmetry_space_group_name_Hall 'P 1'
_cell_length_a 4.552
_cell_length_b 3.260
_cell_length_c 4.553
_cell_angle_alpha 90.00
_cell_angle_beta 90.00
_cell_angle_gamma 90.00
loop_
_atom_site_label
_atom_site_fract_x
_atom_site_fract_y
_atom_site_fract_z
Sc1 0.500 0.125 0.375
Sc2 0.000 0.125 0.875
Li1 0.500 0.625 0.875
Fe1 0.000 0.625 0.375


# 2
# PBE-GGA BaAg2W, relaxed
# V = 33.1 Å³/atom
# E_form = 1090 meV per atom
# Excess energy over the best structure of this formula in the dataset = 349 meV/atom
# Fermi-level density of states = 4.7 states/eV per cell
# ρ = 6.7 g/cm³
# Size of the total moment = 0.9312 μB/atom
data_BaAg2W
_symmetry_space_group_name_H-M 'P 1'
_symmetry_Int_Tables_number 1
_symmetry_space_group_name_Hall 'P 1'
_cell_length_a 5.266
_cell_length_b 5.266
_cell_length_c 10.244
_cell_angle_alpha 75.11
_cell_angle_beta 75.11
_cell_angle_gamma 90.00
loop_
_atom_site_label
_atom_site_fract_x
_atom_site_fract_y
_atom_site_fract_z
W1 0.750 0.250 0.500
W2 0.000 0.000 0.000
Ag1 0.891 0.625 0.250
Ag2 0.375 0.141 0.750
Ag3 0.859 0.125 0.250
Ag4 0.875 0.109 0.750
Ba1 0.500 0.500 0.000
Ba2 0.250 0.750 0.500


# 3
# PBE-GGA NaY2In, relaxed
# V = 28.1 Å³/atom
# E_form = -123 meV per atom
# Fermi-level density of states = 2.4 states/eV per cell
# ρ = 4.7 g/cm³
# Size of the total moment = 0.0001 μB/atom
data_NaY2In
_symmetry_space_group_name_H-M 'P 1'
_symmetry_Int_Tables_number 1
_symmetry_space_group_name_Hall 'P 1'
_cell_length_a 4.236
_cell_length_b 5.154
_cell_length_c 5.154
_cell_angle_alpha 90.00
_cell_angle_beta 90.00
_cell_angle_gamma 90.00
loop_
_atom_site_label
_atom_site_fract_x
_atom_site_fract_y
_atom_site_fract_z
Y1 0.000 0.000 0.500
Y2 0.000 0.500 0.000
Na1 0.500 0.500 0.500
In1 0.500 0.000 0.000